1.
First-principles (GGA-PBE) data for Mg5Ag2 after structural relaxation, as listed in the Alexandria database.

energy relative to the lowest polymorph listed for this composition	0.0000	eV per atom
V	20.722	A^3/atom
formation enthalpy at 0 K	-0.1387	eV/atom

a = 7.0358 Å, b = 13.4694 Å, c = 6.1225 Å
α = 90.00°, β = 90.00°, γ = 90.00°
Last column: nearest neighbours and their distance in Å.
Space group Ibam (No. 72)
One atom of each set of equivalent atoms:
1 Mg 0.0000 0.0000 0.2500 (multiplicity 4)  4 Ag 2.93, 8 Mg 3.06-3.14
2 Mg 0.0000 0.2332 0.2500 (multiplicity 8)  4 Ag 2.83-2.96, 5 Mg 3.06-3.14
3 Mg 0.1590 0.4141 0.0000 (multiplicity 8)  4 Ag 2.81-3.15, 4 Mg 3.07-3.09
4 Ag 0.2342 0.3766 0.5000 (multiplicity 8)  10 Mg 2.81-3.15



2.
First-principles (GGA-PBE) data for Mg4Ag after structural relaxation, as listed in the Alexandria database.

energy relative to the lowest polymorph listed for this composition	0.0015	eV per atom
V	20.917	A^3/atom
formation enthalpy at 0 K	-0.0869	eV/atom

a = 3.3291 Å, b = 3.7121 Å, c = 16.9260 Å
α = 90.00°, β = 90.00°, γ = 90.00°
Last column: nearest neighbours and their distance in Å.
Space group Immm (No. 71)
One atom of each set of equivalent atoms:
1 Mg 0.0000 0.0000 0.0891 (multiplicity 4)  4 Ag 2.91, 5 Mg 3.02-3.09
2 Mg 0.0000 0.0000 0.3032 (multiplicity 4)  10 Mg 3.08-3.33, 1 Ag 3.33
3 Ag 0.0000 0.0000 0.5000 (multiplicity 2)  8 Mg 2.91



3.
First-principles (GGA-PBE) data for Mg5Ag3 after structural relaxation, as listed in the Alexandria database.

energy relative to the lowest polymorph listed for this composition	0.0047	eV per atom
V	19.349	A^3/atom
formation enthalpy at 0 K	-0.1730	eV/atom

a = 7.0749 Å, b = 9.4258 Å, c = 4.6424 Å
α = 90.00°, β = 90.00°, γ = 90.00°
Last column: nearest neighbours and their distance in Å.
Space group Cmmm (No. 65)
One atom of each set of equivalent atoms:
1 Mg 0.0000 0.0000 0.0000 (multiplicity 2)  8 Mg 2.95-3.02, 4 Ag 3.18
2 Mg 0.2263 0.5000 0.5000 (multiplicity 4)  6 Ag 2.82-3.00, 2 Mg 3.02
3 Mg 0.2500 0.2500 0.0000 (multiplicity 4)  6 Ag 2.92-2.95, 2 Mg 2.95
4 Ag 0.0000 0.2310 0.5000 (multiplicity 4)  10 Mg 2.91-3.18
5 Ag 0.0000 0.5000 0.0000 (multiplicity 2)  8 Mg 2.82-2.95



4.
First-principles (GGA-PBE) data for Mg5Ag2 after structural relaxation, as listed in the Alexandria database.

energy relative to the lowest polymorph listed for this composition	0.0025	eV per atom
V	20.383	A^3/atom
formation enthalpy at 0 K	-0.1361	eV/atom

a = 13.7433 Å, b = 5.2506 Å, c = 7.9767 Å
α = 90.00°, β = 97.48°, γ = 90.00°
Last column: nearest neighbours and their distance in Å.
Space group C2/c (No. 15)
One atom of each set of equivalent atoms:
1 Mg 0.0000 0.2492 0.2500 (multiplicity 4)  4 Ag 2.87-2.91, 6 Mg 3.02-3.12
2 Mg 0.1214 0.1791 0.9486 (multiplicity 8)  4 Ag 2.90-2.95, 5 Mg 3.06-3.22
3 Mg 0.2183 0.3454 0.3212 (multiplicity 8)  3 Ag 2.82-3.02, 5 Mg 3.02-3.06
4 Ag 0.0858 0.3190 0.5947 (multiplicity 8)  9 Mg 2.82-3.02



5.
First-principles (GGA-PBE) data for Mg3Ag after structural relaxation, as listed in the Alexandria database.

V	20.208	A^3/atom
formation enthalpy at 0 K	-0.1322	eV/atom

a = 6.1876 Å, b = 6.1876 Å, c = 4.8757 Å
α = 90.00°, β = 90.00°, γ = 120.00°
Last column: nearest neighbours and their distance in Å.
Space group P6_3/mmc (No. 194)
One atom of each set of equivalent atoms:
1 Mg 0.1709 0.3418 0.2500 (multiplicity 6)  4 Ag 3.00-3.09, 8 Mg 3.02-3.17
2 Ag 0.3333 0.6667 0.7500 (multiplicity 2)  12 Mg 3.00-3.09



6.
First-principles (GGA-PBE) data for MgAg5 after structural relaxation, as listed in the Alexandria database.

V	19.512	A^3/atom
formation enthalpy at 0 K	0.0351	eV/atom

a = 7.7655 Å, b = 7.7655 Å, c = 7.7655 Å
α = 90.00°, β = 90.00°, γ = 90.00°
Last column: nearest neighbours and their distance in Å.
Space group F-43m (No. 216)
One atom of each set of equivalent atoms:
1 Mg 0.0000 0.0000 0.0000 (multiplicity 4)  16 Ag 3.22-3.36
2 Ag 0.1250 0.1250 0.6250 (multiplicity 16)  6 Ag 2.74-2.75
3 Ag 0.2500 0.2500 0.2500 (multiplicity 4)  12 Ag 3.22, 4 Mg 3.36



7.
First-principles (GGA-PBE) data for Mg4Ag after structural relaxation, as listed in the Alexandria database.

energy relative to the lowest polymorph listed for this composition	0.1985	eV per atom
V	25.527	A^3/atom
formation enthalpy at 0 K	0.1101	eV/atom

a = 6.3436 Å, b = 6.3436 Å, c = 6.3436 Å
α = 90.00°, β = 90.00°, γ = 90.00°
Last column: nearest neighbours and their distance in Å.
Space group Im-3m (No. 229)
One atom of each set of equivalent atoms:
1 Mg 0.2500 0.2500 0.2500 (multiplicity 8)  2 Ag 2.75
2 Ag 0.0000 0.0000 0.0000 (multiplicity 2)  8 Mg 2.75



8.
First-principles (GGA-PBE) data for Mg3Ag after structural relaxation, as listed in the Alexandria database.

V	20.905	A^3/atom
formation enthalpy at 0 K	-0.0707	eV/atom

a = 3.1590 Å, b = 3.1590 Å, c = 9.6757 Å
α = 90.00°, β = 90.00°, γ = 120.00°
Last column: nearest neighbours and their distance in Å.
Space group P-6m2 (No. 187)
One atom of each set of equivalent atoms:
1 Mg 0.0000 0.0000 0.0000 (multiplicity 1)  12 Mg 3.16-3.19
2 Mg 0.3333 0.6667 0.2700 (multiplicity 2)  3 Ag 2.88, 9 Mg 3.16-3.19
3 Ag 0.0000 0.0000 0.5000 (multiplicity 1)  6 Mg 2.88, 6 Ag 3.16



Question: Which value of V does entry 5 give?
Answer: 20.208 A^3/atom